[1]
Computed, not measured: a relaxed structure of PrNi5P2 at the PBE level of DFT.

Computed properties:
* energy of formation: -0.6826 eV per atom
* space-group type: Immm (71)
* calculated total energy: -0.2295 Ha/atom

Geometry as POSCAR:
```
PrNi5P2
1.0
-1.8749 3.2359 4.4873
1.8749 -3.2359 4.4873
1.8749 3.2359 -4.4873
Pr Ni P
1 5 2
direct
0.0000 0.0000 0.0000
0.1553 0.3432 0.8121
0.4689 0.6568 0.8121
0.5000 0.0000 0.5000
0.5311 0.3432 0.1879
0.8447 0.6568 0.1879
0.2586 0.7586 0.5000
0.7414 0.2414 0.5000
```

---

[2]
Computed, not measured: a relaxed structure of Pr2Ni3P2 at the PBE level of DFT.

Computed properties:
* energy of formation: -0.7880 eV per atom
* space-group type: C2/m (12)
* calculated total energy: -0.2270 Ha/atom

Geometry as POSCAR:
```
Pr2Ni3P2
1.0
5.3085 -1.8773 0.0000
5.3085 1.8773 0.0000
-3.3496 0.0000 5.9632
Pr Ni P
2 3 2
direct
0.1312 0.1312 0.2656
0.8688 0.8688 0.7344
0.3461 0.3461 0.0796
0.5000 0.5000 0.5000
0.6539 0.6539 0.9204
0.1476 0.1476 0.7267
0.8524 0.8524 0.2733
```

---

[3]
Computed, not measured: a relaxed structure of PrNi3P2 at the PBE level of DFT.

Computed properties:
* energy of formation: -0.8421 eV per atom
* space-group type: C2/m (12)
* calculated total energy: -0.2327 Ha/atom
* offset from the most stable computed form: 23 meV per atom

Geometry as POSCAR:
```
PrNi3P2
1.0
7.2093 -1.9015 0.0000
7.2093 1.9015 0.0000
-2.8754 0.0000 6.3481
Pr Ni P
2 6 4
direct
0.1539 0.1539 0.0693
0.8461 0.8461 0.9307
0.0416 0.0416 0.3680
0.3162 0.3162 0.5596
0.4061 0.4061 0.3258
0.5939 0.5939 0.6742
0.6838 0.6838 0.4404
0.9584 0.9584 0.6320
0.1852 0.1852 0.6624
0.4795 0.4795 0.8150
0.5205 0.5205 0.1850
0.8148 0.8148 0.3376
```

---

[4]
Computed, not measured: a relaxed structure of Pr2NiP4Pt3 at the PBE level of DFT.

Computed properties:
* energy of formation: -0.9783 eV per atom
* space-group type: P-4m2 (115)
* calculated total energy: -0.2384 Ha/atom

Geometry as POSCAR:
```
Pr2NiP4Pt3
1.0
4.2811 0.0000 0.0000
0.0000 4.2811 0.0000
0.0000 0.0000 9.5395
Pr Ni P Pt
2 1 4 3
direct
0.0000 0.5000 0.2494
0.5000 0.0000 0.7506
0.5000 0.5000 0.0000
0.0000 0.0000 0.5000
0.0000 0.5000 0.8742
0.5000 0.0000 0.1258
0.5000 0.5000 0.5000
0.0000 0.0000 0.0000
0.0000 0.5000 0.6179
0.5000 0.0000 0.3821
```

---

[5]
Computed, not measured: a relaxed structure of Pr2NiP3Pt12 at the PBE level of DFT.

Computed properties:
* energy of formation: -0.3988 eV per atom
* space-group type: R-3m (166)
* calculated total energy: -0.2271 Ha/atom

Geometry as POSCAR:
```
Pr2NiP3Pt12
1.0
4.0957 2.3646 6.0993
-4.0957 2.3646 6.0993
0.0000 -4.7293 6.0993
Pr Ni P Pt
2 1 3 12
direct
0.1188 0.1188 0.1188
0.8812 0.8812 0.8812
0.5000 0.5000 0.5000
0.0000 0.5000 0.5000
0.5000 0.0000 0.5000
0.5000 0.5000 0.0000
0.1349 0.6181 0.6181
0.1536 0.1536 0.6035
0.1536 0.6035 0.1536
0.3819 0.3819 0.8651
0.3819 0.8651 0.3819
0.3965 0.8464 0.8464
0.6035 0.1536 0.1536
0.6181 0.1349 0.6181
0.6181 0.6181 0.1349
0.8464 0.3965 0.8464
0.8464 0.8464 0.3965
0.8651 0.3819 0.3819
```

---

[6]
Computed, not measured: a relaxed structure of PrNi2PPt2 at the PBE level of DFT.

Computed properties:
* energy of formation: -0.5023 eV per atom
* space-group type: P4/mmm (123)
* calculated total energy: -0.2257 Ha/atom

Geometry as POSCAR:
```
PrNi2PPt2
1.0
4.2948 0.0000 0.0000
0.0000 4.2948 0.0000
0.0000 0.0000 5.6533
Pr Ni P Pt
1 2 1 2
direct
0.0000 0.0000 0.0000
0.0000 0.5000 0.5000
0.5000 0.0000 0.5000
0.0000 0.0000 0.5000
0.5000 0.5000 0.2329
0.5000 0.5000 0.7671
```

---

Number 1: total moment 0.00 Bohr magnetons per cell. Number 2: total moment 0.00 Bohr magnetons per cell. Number 3: total moment 0.00 Bohr magnetons per cell. Number 4: total moment 0.00 Bohr magnetons per cell. Number 5: total moment 0.00 Bohr magnetons per cell. Number 6: total moment 0.00 Bohr magnetons per cell.